No. 1
VASP calculation (meta-GGA SCAN) on a crystal of Mn2CrAs relaxed with PBEsol. Values from VASP.

```
&SYSTEM
  ibrav = 0, nat = 4, ntyp = 3
/
ATOMIC_SPECIES
Cr 52.00 Cr.upf
Mn 54.94 Mn.upf
As 74.92 As.upf
ATOMIC_POSITIONS crystal
Cr 0.500 0.000 0.000
Mn 0.250 0.250 0.500
As 0.000 0.500 0.000
Mn 0.750 0.750 0.500
CELL_PARAMETERS angstrom
-2.552 -2.443 -0.825
-0.645 -0.519 3.533
-0.863 4.076 -1.422
```

Output
The calculation puts the formation energy at -121 meV/atom.



No. 2
VASP calculation (meta-GGA SCAN) on a crystal of MnCrAs relaxed with PBEsol. Values from VASP.

```
&SYSTEM
  ibrav = 0, nat = 3, ntyp = 3
/
ATOMIC_SPECIES
Cr 52.00 Cr.upf
Mn 54.94 Mn.upf
As 74.92 As.upf
ATOMIC_POSITIONS crystal
Cr 0.500 0.500 0.500
Mn 0.250 0.250 0.250
As 0.000 0.000 0.000
CELL_PARAMETERS angstrom
-1.338 -2.659 -2.401
-0.775 -3.519 1.283
-3.628 -1.177 0.280
```

Output
The calculation puts the formation energy at -202 meV/atom.



No. 3
VASP calculation (meta-GGA SCAN) on a crystal of MnCr2SiAs relaxed with PBEsol. Values from VASP.

```
&SYSTEM
  ibrav = 0, nat = 5, ntyp = 4
/
ATOMIC_SPECIES
As 74.92 As.upf
Cr 52.00 Cr.upf
Si 28.09 Si.upf
Mn 54.94 Mn.upf
ATOMIC_POSITIONS crystal
As 0.000 0.000 0.500
Cr 0.000 0.500 0.000
Si 0.000 0.000 0.000
Cr 0.500 0.000 0.000
Mn 0.500 0.500 0.500
CELL_PARAMETERS angstrom
4.459 0.000 0.000
0.000 4.459 0.000
0.000 0.000 4.736
```

Output
The value obtained for the uncorrected formation energy is 0.7809 eV/atom.



No. 4
VASP calculation (meta-GGA SCAN) on a crystal of CrMo3As relaxed with PBEsol. Values from VASP.

```
&SYSTEM
  ibrav = 0, nat = 5, ntyp = 3
/
ATOMIC_SPECIES
Mo 95.94 Mo.upf
As 74.92 As.upf
Cr 52.00 Cr.upf
ATOMIC_POSITIONS crystal
Mo 0.000 0.500 0.000
Mo 0.000 0.000 0.500
Mo 0.500 0.000 0.000
As 0.500 0.500 0.500
Cr 0.000 0.000 0.000
CELL_PARAMETERS angstrom
-2.340 -0.290 -3.744
2.859 -2.999 -1.554
-2.435 -3.241 1.774
```

Output
The calculation puts the formation energy at 1313 meV/atom.



Across the entries above, magnetic moment takes the values 1.128 0.000 2.393 0.001 μB/atom, respectively.
Across the entries above, calculated total energy takes the values -75.57 -57.44 -81.33 -136.66 eV/f.u., respectively.